1.
Computed, not measured: a relaxed KCaZn2 crystal at the PBE level of DFT.

Energy of formation from the pure elements, eV per atom: 0.05
E_tot, eV for the cell shown: -5.45

a b c (Å): 3.5317 3.7628 9.1059
angles (deg): 90.00 90.00 90.00
Fractional coordinates of all 4 atoms:
Ca 0.0000 0.0000 0.4105
K 0.5000 0.5000 0.8090
Zn 0.0000 0.0000 0.0799
Zn 0.5000 0.5000 0.2005

=====

2.
Computed, not measured: a relaxed KCa2Zn crystal at the PBE level of DFT.

Energy of formation from the pure elements, eV per atom: 0.39
E_tot, eV for the cell shown: -9.63

a b c (Å): 7.8356 7.8356 9.7335
angles (deg): 66.27 66.27 90.00
Fractional coordinates of all 8 atoms:
K 0.5000 0.5000 0.0000
K 0.2500 0.7500 0.5000
Zn 0.0000 0.0000 0.0000
Zn 0.7500 0.2500 0.5000
Ca 0.8637 0.1250 0.2500
Ca 0.8863 0.6250 0.2500
Ca 0.3750 0.1363 0.7500
Ca 0.8750 0.1137 0.7500

=====

3.
Computed, not measured: a relaxed KCa2Zn crystal at the PBE level of DFT.

Energy of formation from the pure elements, eV per atom: 0.26
E_tot, eV for the cell shown: -5.34

a b c (Å): 5.9623 5.9623 5.9623
angles (deg): 60.00 60.00 60.00
Fractional coordinates of all 4 atoms:
Ca 0.0000 0.0000 0.0000
Ca 0.2500 0.2500 0.2500
K 0.5000 0.5000 0.5000
Zn 0.7500 0.7500 0.7500